[1]
Th3Zn2GaNi6 | PBE | optimized geometry

a = 5.3462 Å, b = 5.3462 Å, c = 8.4878 Å
α = 90.00°, β = 90.00°, γ = 120.00°
With the nearest neighbours (Å) after each atom.
Space group P-3m1 (No. 164)
Inequivalent atoms, fractional coordinates:
Th1 0.0000 0.0000 0.0000 (multiplicity 1)  6 Ni 2.83, 6 Zn 3.10
Th2 0.3333 0.6667 0.6265 (multiplicity 2)  6 Ni 2.80
Zn1 0.3333 0.6667 0.0288 (multiplicity 2)  3 Ni 2.55
Ga1 0.0000 0.0000 0.5000 (multiplicity 1)  6 Ni 2.51
Ni1 0.1748 0.3497 0.2738 (multiplicity 6)  1 Ga 2.51, 4 Ni 2.54-2.80, 1 Zn 2.55, 2 Th 2.80


[2]
TiGa2Ni | PBE | optimized geometry

a = 2.8684 Å, b = 2.8684 Å, c = 6.8354 Å
α = 90.00°, β = 90.00°, γ = 90.00°
With the nearest neighbours (Å) after each atom.
Space group P4/mmm (No. 123)
Inequivalent atoms, fractional coordinates:
Ti1 0.0000 0.0000 0.0000 (multiplicity 1)  8 Ga 2.79, 4 Ti 2.87
Ga1 0.5000 0.5000 0.2801 (multiplicity 2)  4 Ni 2.52, 4 Ti 2.79
Ni1 0.0000 0.0000 0.5000 (multiplicity 1)  8 Ga 2.52


[3]
TiGaNi14 | PBE | optimized geometry

a = 5.0327 Å, b = 5.0327 Å, c = 7.1110 Å
α = 90.00°, β = 90.00°, γ = 90.00°
With the nearest neighbours (Å) after each atom.
Space group P4/mmm (No. 123)
Inequivalent atoms, fractional coordinates:
Ti1 0.0000 0.0000 0.0000 (multiplicity 1)  12 Ni 2.52-2.54
Ga1 0.5000 0.5000 0.0000 (multiplicity 1)  12 Ni 2.52-2.54
Ni1 0.0000 0.0000 0.5000 (multiplicity 1)  12 Ni 2.49-2.52
Ni2 0.0000 0.5000 0.0000 (multiplicity 2)  2 Ti 2.52, 2 Ga 2.52, 8 Ni 2.54
Ni3 0.0000 0.5000 0.5000 (multiplicity 2)  12 Ni 2.49-2.52
Ni4 0.2501 0.2501 0.2556 (multiplicity 8)  10 Ni 2.49-2.54, 1 Ga 2.54, 1 Ti 2.54
Ni5 0.5000 0.5000 0.5000 (multiplicity 1)  12 Ni 2.49-2.52


[4]
TiGaNi6 | PBE | optimized geometry

a = 7.1849 Å, b = 10.1759 Å, c = 10.1632 Å
α = 90.00°, β = 90.00°, γ = 90.00°
With the nearest neighbours (Å) after each atom.
Space group Cmmm (No. 65)
Inequivalent atoms, fractional coordinates:
Ti1 0.0000 0.0000 0.2484 (multiplicity 4)  12 Ni 2.52-2.56
Ti2 0.0000 0.2449 0.5000 (multiplicity 4)  12 Ni 2.49-2.60
Ga1 0.0000 0.2452 0.0000 (multiplicity 4)  12 Ni 2.50-2.59
Ga2 0.0000 0.5000 0.2495 (multiplicity 4)  12 Ni 2.53-2.56
Ni1 0.0000 0.0000 0.0000 (multiplicity 2)  2 Ga 2.50, 2 Ti 2.52, 8 Ni 2.55
Ni2 0.0000 0.0000 0.5000 (multiplicity 2)  4 Ti 2.49-2.56, 8 Ni 2.55
Ni3 0.0000 0.2485 0.2499 (multiplicity 8)  2 Ti 2.53-2.54, 8 Ni 2.54, 2 Ga 2.54-2.56
Ni4 0.0000 0.5000 0.0000 (multiplicity 2)  8 Ni 2.53, 4 Ga 2.54-2.59
Ni5 0.0000 0.5000 0.5000 (multiplicity 2)  8 Ni 2.54, 2 Ga 2.55, 2 Ti 2.60
Ni6 0.2480 0.3752 0.1252 (multiplicity 16)  3 Ga 2.53-2.56, 8 Ni 2.53-2.55, 1 Ti 2.54
Ni7 0.2487 0.3748 0.3751 (multiplicity 16)  3 Ti 2.52-2.56, 8 Ni 2.54-2.55, 1 Ga 2.54

Results
**Relative energy among the computed polymorphs**: 8.7 meV per atom


How do the records compare in density of states at the Fermi level? In the order shown, they have 8.2 2.2 25.5 8.8 states/eV/f.u..
How do the records compare in energy of formation from the pure elements? In the order shown, they have -0.358 -0.439 -0.161 -0.393 eV/atom.